Record 1
DFT (PBE) results for a relaxed Sb2O5 crystal.

Structure (POSCAR):
```
Sb2O5
1.0
1.998 -5.122 0.000
1.998 5.122 0.000
0.000 0.000 9.778
Sb O
4 10
Direct
0.135 0.865 0.564
0.135 0.865 0.936
0.865 0.135 0.064
0.865 0.135 0.436
0.050 0.950 0.120
0.050 0.950 0.380
0.208 0.792 0.750
0.316 0.684 0.036
0.316 0.684 0.464
0.684 0.316 0.536
0.684 0.316 0.964
0.792 0.208 0.250
0.950 0.050 0.620
0.950 0.050 0.880
```

Space-group type: Cmcm, No. 63
Formation energy (no corrections) in eV per atom: -1.2113
ΔE to the lowest computed polymorph in eV per formula unit: 0.26


Record 2
DFT (PBE) results for a relaxed RbTl2TePt crystal.

Structure (POSCAR):
```
RbTl2TePt
1.0
5.352 0.000 0.000
0.000 5.352 0.000
0.000 0.000 5.997
Rb Tl Te Pt
1 2 1 1
Direct
0.000 0.000 0.000
0.000 0.500 0.500
0.500 0.000 0.500
0.500 0.500 0.000
0.500 0.500 0.500
```

Space-group type: P4/mmm, No. 123
Formation energy (no corrections) in eV per atom: -0.2608
ΔE to the lowest computed polymorph in eV per formula unit: 0.00


Record 3
DFT (PBE) results for a relaxed Tb6Sm3Dy2Er crystal.

Structure (POSCAR):
```
Tb6Sm3Dy2Er
1.0
3.091 -5.351 0.000
3.091 5.351 0.000
-2.051 0.000 11.650
Tb Sm Dy Er
6 3 2 1
Direct
0.083 0.416 0.247
0.250 0.250 0.753
0.416 0.083 0.247
0.584 0.917 0.753
0.750 0.750 0.247
0.917 0.584 0.753
0.167 0.833 0.500
0.500 0.500 0.500
0.833 0.167 0.500
0.333 0.667 0.000
0.667 0.333 0.000
0.000 0.000 0.000
```

Space-group type: C2/m, No. 12


Record 4
DFT (PBE) results for a relaxed Mg5Si6 crystal.

Structure (POSCAR):
```
Mg5Si6
1.0
4.645 0.000 0.000
1.686 5.688 0.000
1.067 0.247 16.259
Mg Si
10 12
Direct
0.000 0.000 0.000
0.004 0.398 0.337
0.134 0.836 0.825
0.246 0.848 0.334
0.302 0.550 0.659
0.311 0.137 0.138
0.568 0.378 0.489
0.672 0.936 0.608
0.702 0.559 0.920
0.869 0.695 0.158
0.007 0.219 0.714
0.090 0.212 0.566
0.227 0.387 0.989
0.227 0.820 0.513
0.402 0.646 0.075
0.432 0.515 0.220
0.526 0.132 0.762
0.531 0.058 0.906
0.597 0.117 0.362
0.733 0.648 0.749
0.787 0.770 0.445
0.791 0.132 0.222
```

Space-group type: P1, No. 1
Formation energy (no corrections) in eV per atom: 0.0714
ΔE to the lowest computed polymorph in eV per formula unit: 0.51


Electronic total energy in eV per atom, matching the order above: -5.931 -3.237 -4.627 -3.611
Mass density in kg/m3, matching the order above: 5369 7898 8172 2242